1.
! PBE-GGA KRu2Cl, optimized geometry; values from VASP
! E_form (uncorrected) (eV per atom): 0.66
! Energy (Ry/atom): -0.34633
&SYSTEM
  ibrav = 0, nat = 4, ntyp = 3
/
ATOMIC_SPECIES
Ru 101.07 Ru.upf
K 39.10 K.upf
Cl 35.45 Cl.upf
CELL_PARAMETERS angstrom
-3.770 5.266 -1.283
-0.882 0.132 3.133
3.326 2.579 0.813
ATOMIC_POSITIONS crystal
Ru 0.000 0.081 0.997
Ru 0.000 0.419 0.503
K 0.500 0.750 0.750
Cl 0.500 0.250 0.250

2.
! PBE-GGA K2RuCl8, optimized geometry; values from VASP
! E_form (uncorrected) (eV per atom): -0.94
! Energy (Ry/atom): -0.24468
&SYSTEM
  ibrav = 0, nat = 11, ntyp = 3
/
ATOMIC_SPECIES
K 39.10 K.upf
Ru 101.07 Ru.upf
Cl 35.45 Cl.upf
CELL_PARAMETERS angstrom
0.948 -2.531 7.837
6.942 -2.208 2.200
4.447 4.163 4.559
ATOMIC_POSITIONS crystal
K 0.245 0.232 0.232
K 0.755 0.768 0.768
Ru 0.000 0.000 0.000
Cl 0.915 0.140 0.684
Cl 0.085 0.316 0.860
Cl 0.683 0.164 0.164
Cl 0.317 0.836 0.836
Cl 0.915 0.684 0.140
Cl 0.085 0.860 0.316
Cl 0.555 0.410 0.410
Cl 0.445 0.590 0.590

3.
! PBE-GGA KRu2Cl, optimized geometry; values from VASP
! E_form (uncorrected) (eV per atom): 0.96
! Energy (Ry/atom): -0.32438
&SYSTEM
  ibrav = 0, nat = 4, ntyp = 3
/
ATOMIC_SPECIES
Ru 101.07 Ru.upf
K 39.10 K.upf
Cl 35.45 Cl.upf
CELL_PARAMETERS angstrom
2.565 0.000 0.000
0.000 6.869 0.000
0.000 0.000 5.175
ATOMIC_POSITIONS crystal
Ru 0.000 0.000 0.002
Ru 0.000 0.000 0.498
K 0.500 0.500 0.750
Cl 0.500 0.500 0.250

4.
! PBE-GGA KRuS2Cl, optimized geometry; values from VASP
! E_form (uncorrected) (eV per atom): 1.40
! Energy (Ry/atom): -0.19784
&SYSTEM
  ibrav = 0, nat = 5, ntyp = 4
/
ATOMIC_SPECIES
Ru 101.07 Ru.upf
K 39.10 K.upf
S 32.06 S.upf
Cl 35.45 Cl.upf
CELL_PARAMETERS angstrom
5.513 0.000 0.000
0.000 5.513 0.000
0.000 0.000 5.391
ATOMIC_POSITIONS crystal
Ru 0.500 0.500 0.500
K 0.000 0.000 0.000
S 0.000 0.500 0.000
S 0.500 0.000 0.000
Cl 0.000 0.000 0.500

5.
! PBE-GGA KRuSCl2, optimized geometry; values from VASP
! E_form (uncorrected) (eV per atom): -0.71
! Energy (Ry/atom): -0.31996
&SYSTEM
  ibrav = 0, nat = 5, ntyp = 4
/
ATOMIC_SPECIES
Ru 101.07 Ru.upf
K 39.10 K.upf
S 32.06 S.upf
Cl 35.45 Cl.upf
CELL_PARAMETERS angstrom
5.157 0.000 0.000
0.000 5.157 0.000
0.000 0.000 4.407
ATOMIC_POSITIONS crystal
Ru 0.000 0.000 0.000
K 0.500 0.500 0.500
S 0.000 0.000 0.500
Cl 0.000 0.500 0.000
Cl 0.500 0.000 0.000

6.
! PBE-GGA KRuSCl2, optimized geometry; values from VASP
! E_form (uncorrected) (eV per atom): 0.99
! Energy (Ry/atom): -0.19503
&SYSTEM
  ibrav = 0, nat = 5, ntyp = 4
/
ATOMIC_SPECIES
Ru 101.07 Ru.upf
K 39.10 K.upf
S 32.06 S.upf
Cl 35.45 Cl.upf
CELL_PARAMETERS angstrom
5.464 0.000 0.000
0.000 5.464 0.000
0.000 0.000 5.623
ATOMIC_POSITIONS crystal
Ru 0.500 0.500 0.500
K 0.000 0.000 0.000
S 0.000 0.000 0.500
Cl 0.000 0.500 0.000
Cl 0.500 0.000 0.000

7.
! PBE-GGA KRuS2Cl, optimized geometry; values from VASP
! E_form (uncorrected) (eV per atom): -0.48
! Energy (Ry/atom): -0.33594
&SYSTEM
  ibrav = 0, nat = 5, ntyp = 4
/
ATOMIC_SPECIES
Ru 101.07 Ru.upf
K 39.10 K.upf
S 32.06 S.upf
Cl 35.45 Cl.upf
CELL_PARAMETERS angstrom
4.571 0.000 0.000
0.000 4.571 0.000
0.000 0.000 5.500
ATOMIC_POSITIONS crystal
Ru 0.000 0.000 0.000
K 0.500 0.500 0.500
S 0.000 0.500 0.000
S 0.500 0.000 0.000
Cl 0.000 0.000 0.500

8.
! PBE-GGA KScRu2Cl, optimized geometry; values from VASP
! E_form (uncorrected) (eV per atom): 2.17
! Energy (Ry/atom): -0.24920
&SYSTEM
  ibrav = 0, nat = 5, ntyp = 4
/
ATOMIC_SPECIES
Sc 44.96 Sc.upf
Ru 101.07 Ru.upf
K 39.10 K.upf
Cl 35.45 Cl.upf
CELL_PARAMETERS angstrom
-0.972 -3.902 2.431
4.609 0.927 3.332
-2.647 2.507 2.964
ATOMIC_POSITIONS crystal
Sc 0.000 0.500 0.000
Ru 0.000 0.000 0.500
Ru 0.500 0.000 0.000
K 0.000 0.000 0.000
Cl 0.500 0.500 0.500

| no. | Fermi-level density of states (states/eV/cell) | volume (Å³/cell) |
| --- | --- | --- |
| 1 | 4.17 | 92.2 |
| 2 | 7.36 | 340.5 |
| 3 | 4.66 | 91.2 |
| 4 | 5.03 | 163.9 |
| 5 | 3.58 | 117.2 |
| 6 | 12.37 | 167.8 |
| 7 | 4.41 | 114.9 |
| 8 | 4.90 | 127.2 |